PmCuPCl (PBE-GGA, optimized geometry); E_tot = -42.79 eV/cell; energy relative to the elements, uncorrected = -127.6 kJ per mole of atoms; crystal system = trigonal; density = 4.95 g/cm³
1.0
2.014 1.163 13.134
-2.014 1.163 13.134
0.000 -2.325 13.134
Pm Cu P Cl
2 2 2 2
Direct
0.079 0.079 0.079 Pm
0.921 0.921 0.921 Pm
0.310 0.310 0.310 Cu
0.690 0.690 0.690 Cu
0.372 0.372 0.372 P
0.628 0.628 0.628 P
0.211 0.211 0.211 Cl
0.789 0.789 0.789 Cl